Record 1
## FeSiPHPt (PBE-GGA)

Data for a relaxed FeSiPHPt crystal.

Energy in eV per atom: -5.7837

Lattice parameters (Å, degrees): 3.507 4.089 4.321 90.00 96.95 90.00
Atoms (fractional coordinates):
Fe: 0.157 0.000 0.573
H: 0.883 0.500 0.045
P: 0.139 0.500 0.761
Pt: 0.611 0.500 0.374
Si: 0.424 0.000 0.099

Record 2
## FeSiPHPt (PBE-GGA)

Data for a relaxed FeSiPHPt crystal.

Energy in eV per atom: -5.9003

Lattice parameters (Å, degrees): 3.126 4.494 4.459 90.00 110.31 90.00
Each line ends with the local moment (μB).
Atoms (fractional coordinates):
P: 0.444 0.500 0.172  -0.01
H: 0.955 0.000 0.189  -0.01
Fe: 0.543 0.000 0.370  0.40
Pt: 0.154 0.500 0.597  0.01
Si: 0.267 0.000 0.821  -0.01

Record 3
## FeSiPHPt (PBE-GGA)

Data for a relaxed FeSiPHPt crystal.

Energy in eV per atom: -5.9321

Lattice parameters (Å, degrees): 3.528 4.233 4.494 78.69 79.96 68.09
Atoms (fractional coordinates):
Fe: 0.470 0.323 0.834
Si: 0.795 0.706 0.885
H: 0.000 0.253 0.873
Pt: 0.582 0.877 0.388
P: 0.303 0.479 0.307

Record 4
## FeSiPHPt (PBE-GGA)

Data for a relaxed FeSiPHPt crystal.

Energy in eV per atom: -5.9862

Lattice parameters (Å, degrees): 4.169 3.795 7.773 90.00 90.00 90.00
Each line ends with the local moment (μB).
Atoms (fractional coordinates):
Si: 0.000 0.500 0.802  -0.01
Si: 0.000 0.000 0.302  -0.01
P: 0.500 0.000 0.479  -0.01
P: 0.500 0.500 0.979  -0.01
H: 0.000 0.500 0.320  0.00
H: 0.000 0.000 0.820  0.00
Fe: 0.000 0.000 0.614  0.28
Fe: 0.000 0.500 0.114  0.28
Pt: 0.500 0.500 0.648  0.02
Pt: 0.500 0.000 0.148  0.02

Record 5
## FeSiPHPt (PBE-GGA)

Data for a relaxed FeSiPHPt crystal.

Energy in eV per atom: -5.8508

Lattice parameters (Å, degrees): 3.465 4.352 4.585 61.98 88.69 86.82
Atoms (fractional coordinates):
H: 0.268 0.789 0.858
Fe: 0.108 0.519 0.208
Si: 0.113 0.114 0.026
P: 0.624 0.182 0.435
Pt: 0.601 0.544 0.686

Record 6
## FeSiPHPt (PBE-GGA)

Data for a relaxed FeSiPHPt crystal.

Energy in eV per atom: -5.8283

Lattice parameters (Å, degrees): 4.397 2.927 5.013 90.00 113.18 90.00
Each line ends with the local moment (μB).
Atoms (fractional coordinates):
P: 0.171 0.500 0.229  -0.04
Fe: 0.552 0.000 0.516  1.35
H: 0.772 0.500 0.566  -0.01
Pt: 0.211 0.500 0.762  0.03
Si: 0.657 0.000 0.075  -0.03

Record 7
## PuFe2PH (PBE-GGA)

Data for a relaxed PuFe2PH crystal.

Energy in eV per atom: -8.5014

Lattice parameters (Å, degrees): 3.632 5.484 6.650 90.00 90.00 109.34
Each line ends with the local moment (μB).
Atoms (fractional coordinates):
H: 0.000 0.000 0.500  -0.01
H: 0.000 0.000 0.000  -0.01
Fe: 0.830 0.661 0.444  -1.69
Fe: 0.830 0.661 0.056  -1.69
Fe: 0.170 0.339 0.556  -1.69
Fe: 0.170 0.339 0.944  -1.69
P: 0.727 0.455 0.750  0.01
P: 0.273 0.545 0.250  0.01
Pu: 0.447 0.893 0.750  5.14
Pu: 0.553 0.107 0.250  5.14

Record 8
## PuFePH (PBE-GGA)

Data for a relaxed PuFePH crystal.

Energy in eV per atom: -8.6313

Lattice parameters (Å, degrees): 3.785 3.785 7.413 90.00 90.00 90.00
Each line ends with the local moment (μB).
Atoms (fractional coordinates):
P: 0.500 0.000 0.158  -0.03
P: 0.000 0.500 0.842  -0.03
Fe: 0.000 0.000 0.000  -0.23
Fe: 0.500 0.500 0.000  -0.23
H: 0.000 0.000 0.500  -0.03
H: 0.500 0.500 0.500  -0.03
Pu: 0.000 0.500 0.332  5.04
Pu: 0.500 0.000 0.668  5.04

Record 9
## FeP2HS (PBE-GGA)

Data for a relaxed FeP2HS crystal.

Energy in eV per atom: -4.4863

Lattice parameters (Å, degrees): 3.519 3.519 4.706 90.00 90.00 90.00
Atoms (fractional coordinates):
Fe: 0.500 0.500 0.500
H: 0.000 0.000 0.000
P: 0.500 0.000 0.000
P: 0.000 0.500 0.000
S: 0.000 0.000 0.500

Record 10
## FeP2HS (PBE-GGA)

Data for a relaxed FeP2HS crystal.

Energy in eV per atom: -4.4382

Lattice parameters (Å, degrees): 4.202 4.202 4.646 90.00 90.00 90.00
Atoms (fractional coordinates):
S: 0.000 0.000 0.500
H: 0.500 0.500 0.500
P: 0.000 0.500 0.000
P: 0.500 0.000 0.000
Fe: 0.000 0.000 0.000

Record 11
## FeSb2PH (PBE-GGA)

Data for a relaxed FeSb2PH crystal.

Energy in eV per atom: -4.4947

Lattice parameters (Å, degrees): 5.176 3.137 5.176 90.00 90.00 90.00
Atoms (fractional coordinates):
Sb: 0.500 0.000 0.000
Sb: 0.000 0.000 0.500
H: 0.000 0.500 0.000
Fe: 0.500 0.500 0.500
P: 0.000 0.000 0.000

Record 12
## ScFePH (PBE-GGA)

Data for a relaxed ScFePH crystal.

Energy in eV per atom: -6.7707

Lattice parameters (Å, degrees): 3.676 3.676 6.769 90.00 90.00 90.00
Atoms (fractional coordinates):
Sc: 0.000 0.500 0.338
Sc: 0.500 0.000 0.662
Fe: 0.500 0.500 0.000
Fe: 0.000 0.000 0.000
P: 0.500 0.000 0.176
P: 0.000 0.500 0.824
H: 0.000 0.000 0.500
H: 0.500 0.500 0.500

The highest energy belongs to which entry?
number 10

Among the records above, which one has the lowest energy?
PuFePH